Record 1
## MnMo2Se (PBE)

Data for a geometry-optimized MnMo2Se structure.

Calculated total energy (eV/cell): -66.23
Fermi-level density of states (states/eV per cell): 6.40

a = 3.2375 Å, b = 4.7157 Å, c = 8.3359 Å
α = 90.00°, β = 90.00°, γ = 90.00°
Space group Cmm2 (No. 35)
Inequivalent atoms, fractional coordinates:
Mn (0.0000, 0.0000, 0.0000) (multiplicity 2)
Mo (0.0000, 0.0000, 0.5086) (multiplicity 2)
Mo (0.0000, 0.5000, 0.7570) (multiplicity 2)
Se (0.0000, 0.5000, 0.2391) (multiplicity 2)

Record 2
## MnMo2Se (PBE)

Data for a geometry-optimized MnMo2Se structure.

Calculated total energy (eV/cell): -33.04
Fermi-level density of states (states/eV per cell): 4.04

a = 4.4475 Å, b = 3.1322 Å, c = 4.6137 Å
α = 90.00°, β = 105.06°, γ = 90.00°
Space group P2/m (No. 10)
Inequivalent atoms, fractional coordinates:
Mn (0.0000, 0.0000, 0.0000) (multiplicity 1)
Mo (0.0000, 0.5000, 0.5000) (multiplicity 1)
Mo (0.5000, 0.0000, 0.5000) (multiplicity 1)
Se (0.5000, 0.5000, 0.0000) (multiplicity 1)

Record 3
## MnMo2Se2 (PBE)

Data for a geometry-optimized MnMo2Se2 structure.

Fermi-level density of states (states/eV per cell): 15.89
Relative energy among the computed polymorphs (eV/atom): 0.146

a = 6.9953 Å, b = 6.9953 Å, c = 3.1691 Å
α = 90.00°, β = 90.00°, γ = 90.00°
Space group P4/mbm (No. 127)
Inequivalent atoms, fractional coordinates:
Mn (0.0000, 0.0000, 0.0000) (multiplicity 2)
Mo (0.1465, 0.3535, 0.5000) (multiplicity 4)
Se (0.1588, 0.6588, 0.0000) (multiplicity 4)

Record 4
## MnMo2Se (PBE)

Data for a geometry-optimized MnMo2Se structure.

Calculated total energy (eV/cell): -65.57
Fermi-level density of states (states/eV per cell): 9.15

a = 3.7235 Å, b = 3.7235 Å, c = 8.6355 Å
α = 90.00°, β = 90.00°, γ = 90.00°
Space group I-4m2 (No. 119)
Inequivalent atoms, fractional coordinates:
Mn (0.0000, 0.0000, 0.0000) (multiplicity 2)
Mo (0.0000, 0.0000, 0.5000) (multiplicity 2)
Mo (0.0000, 0.5000, 0.7500) (multiplicity 2)
Se (0.0000, 0.5000, 0.2500) (multiplicity 2)

Record 5
## MnMo2Se (PBE)

Data for a geometry-optimized MnMo2Se structure.

Calculated total energy (eV/cell): -65.08
Fermi-level density of states (states/eV per cell): 7.97

a = 3.2280 Å, b = 4.5493 Å, c = 8.4209 Å
α = 90.00°, β = 90.00°, γ = 90.00°
Space group Cmmm (No. 65)
Inequivalent atoms, fractional coordinates:
Mn (0.0000, 0.0000, 0.0000) (multiplicity 2)
Mo (0.0000, 0.5000, 0.2306) (multiplicity 4)
Se (0.0000, 0.0000, 0.5000) (multiplicity 2)

Record 6
## MnMoSe3 (PBE)

Data for a geometry-optimized MnMoSe3 structure.

Fermi-level density of states (states/eV per cell): 3.70
Relative energy among the computed polymorphs (eV/atom): 0.000

a = 4.8198 Å, b = 4.8198 Å, c = 4.8198 Å
α = 90.00°, β = 90.00°, γ = 90.00°
Space group Pm-3m (No. 221)
Inequivalent atoms, fractional coordinates:
Mn (0.0000, 0.0000, 0.0000) (multiplicity 1)
Mo (0.5000, 0.5000, 0.5000) (multiplicity 1)
Se (0.0000, 0.0000, 0.5000) (multiplicity 3)